1.
{
  "formula": "Cs2KPtO2",
  "functional": "GGA-PBE",
  "state": "relaxed",
  "raw_formation_energy_ev_per_atom": -0.905,
  "n_ef_per_ev_cell": 11.7,
  "spacegroup": "Pnnm, No. 58",
  "lattice": [[6.336, 0.000, 0.000], [0.000, 11.668, 0.000], [0.000, 0.000, 4.525]],
  "species": ["Cs", "Cs", "Cs", "Cs", "K", "K", "Pt", "Pt", "O", "O", "O", "O"],
  "frac_coords": [[0.091, 0.230, 0.000], [0.409, 0.730, 0.500], [0.591, 0.270, 0.500], [0.909, 0.770, 0.000], [0.000, 0.500, 0.500], [0.500, 0.000, 0.000], [0.000, 0.000, 0.500], [0.500, 0.500, 0.000], [0.244, 0.596, 0.000], [0.256, 0.096, 0.500], [0.744, 0.904, 0.500], [0.756, 0.404, 0.000]]
}

***

2.
{
  "formula": "CsKPuO3",
  "functional": "GGA-PBE",
  "state": "relaxed",
  "raw_formation_energy_ev_per_atom": -2.123,
  "n_ef_per_ev_cell": 11.7,
  "spacegroup": "C2/c, No. 15",
  "lattice": [[3.530, -7.021, 0.000], [3.530, 7.021, 0.000], [-1.112, 0.000, 5.937]],
  "species": ["Cs", "Cs", "K", "K", "Pu", "Pu", "O", "O", "O", "O", "O", "O"],
  "frac_coords": [[0.093, 0.907, 0.750], [0.907, 0.093, 0.250], [0.287, 0.713, 0.250], [0.713, 0.287, 0.750], [0.442, 0.558, 0.750], [0.558, 0.442, 0.250], [0.285, 0.371, 0.019], [0.295, 0.705, 0.750], [0.371, 0.285, 0.519], [0.629, 0.715, 0.481], [0.705, 0.295, 0.250], [0.715, 0.629, 0.981]]
}

***

3.
{
  "formula": "CsK2PuO5",
  "functional": "GGA-PBE",
  "state": "relaxed",
  "raw_formation_energy_ev_per_atom": -2.147,
  "spacegroup": "Immm, No. 71",
  "lattice": [[-2.190, 3.315, 6.126], [2.190, -3.315, 6.126], [2.190, 3.315, -6.126]],
  "species": ["Cs", "K", "K", "Pu", "O", "O", "O", "O", "O"],
  "frac_coords": [[0.000, 0.000, 0.000], [0.274, 0.774, 0.500], [0.726, 0.226, 0.500], [0.500, 0.500, 0.000], [0.180, 0.386, 0.794], [0.409, 0.614, 0.794], [0.500, 0.000, 0.500], [0.591, 0.386, 0.206], [0.820, 0.614, 0.206]]
}

***

4.
{
  "formula": "CsK4Pu3O12",
  "functional": "GGA-PBE",
  "state": "relaxed",
  "raw_formation_energy_ev_per_atom": -2.260,
  "n_ef_per_ev_cell": 8.3,
  "spacegroup": "Im-3m, No. 229",
  "lattice": [[-4.469, 4.469, 4.469], [4.469, -4.469, 4.469], [4.469, 4.469, -4.469]],
  "species": ["Cs", "K", "K", "K", "K", "Pu", "Pu", "Pu", "O", "O", "O", "O", "O", "O", "O", "O", "O", "O", "O", "O"],
  "frac_coords": [[0.000, 0.000, 0.000], [0.000, 0.000, 0.500], [0.000, 0.500, 0.000], [0.500, 0.000, 0.000], [0.500, 0.500, 0.500], [0.000, 0.500, 0.500], [0.500, 0.000, 0.500], [0.500, 0.500, 0.000], [0.000, 0.295, 0.295], [0.000, 0.705, 0.705], [0.250, 0.500, 0.750], [0.250, 0.750, 0.500], [0.295, 0.000, 0.295], [0.295, 0.295, 0.000], [0.500, 0.250, 0.750], [0.500, 0.750, 0.250], [0.705, 0.000, 0.705], [0.705, 0.705, 0.000], [0.750, 0.250, 0.500], [0.750, 0.500, 0.250]]
}

***

5.
{
  "formula": "Cs2KPu2O7",
  "functional": "GGA-PBE",
  "state": "relaxed",
  "raw_formation_energy_ev_per_atom": -2.391,
  "n_ef_per_ev_cell": 8.3,
  "spacegroup": "I4/mmm, No. 139",
  "lattice": [[-2.162, 2.162, 12.020], [2.162, -2.162, 12.020], [2.162, 2.162, -12.020]],
  "species": ["Cs", "Cs", "K", "Pu", "Pu", "O", "O", "O", "O", "O", "O", "O"],
  "frac_coords": [[0.188, 0.188, 0.000], [0.812, 0.812, 0.000], [0.000, 0.000, 0.000], [0.412, 0.412, 0.000], [0.588, 0.588, 0.000], [0.086, 0.586, 0.500], [0.330, 0.330, 0.000], [0.414, 0.914, 0.500], [0.500, 0.500, 0.000], [0.586, 0.086, 0.500], [0.670, 0.670, 0.000], [0.914, 0.414, 0.500]]
}

***

6.
{
  "formula": "Cs2K3PuO6",
  "functional": "GGA-PBE",
  "state": "relaxed",
  "raw_formation_energy_ev_per_atom": -1.924,
  "spacegroup": "C2/m, No. 12",
  "lattice": [[3.519, -6.206, 0.000], [3.519, 6.206, 0.000], [-2.471, 0.000, 5.983]],
  "species": ["Cs", "Cs", "K", "K", "K", "Pu", "O", "O", "O", "O", "O", "O"],
  "frac_coords": [[0.170, 0.830, 0.000], [0.830, 0.170, 0.000], [0.000, 0.000, 0.500], [0.354, 0.646, 0.500], [0.646, 0.354, 0.500], [0.500, 0.500, 0.000], [0.201, 0.432, 0.794], [0.324, 0.324, 0.186], [0.432, 0.201, 0.794], [0.568, 0.799, 0.206], [0.676, 0.676, 0.814], [0.799, 0.568, 0.206]]
}

***

7.
{
  "formula": "Cs3KPu2O9",
  "functional": "GGA-PBE",
  "state": "relaxed",
  "raw_formation_energy_ev_per_atom": -2.152,
  "spacegroup": "P-3m1, No. 164",
  "lattice": [[6.411, 0.000, 0.000], [-3.205, 5.552, 0.000], [0.000, 0.000, 8.018]],
  "species": ["Cs", "Cs", "Cs", "K", "Pu", "Pu", "O", "O", "O", "O", "O", "O", "O", "O", "O"],
  "frac_coords": [[0.000, 0.000, 0.000], [0.333, 0.667, 0.651], [0.667, 0.333, 0.349], [0.000, 0.000, 0.500], [0.333, 0.667, 0.144], [0.667, 0.333, 0.856], [0.000, 0.500, 0.000], [0.192, 0.385, 0.285], [0.192, 0.808, 0.285], [0.385, 0.192, 0.715], [0.500, 0.000, 0.000], [0.500, 0.500, 0.000], [0.615, 0.808, 0.285], [0.808, 0.192, 0.715], [0.808, 0.615, 0.715]]
}

***

8.
{
  "formula": "Cs2KPuO5",
  "functional": "GGA-PBE",
  "state": "relaxed",
  "raw_formation_energy_ev_per_atom": -2.094,
  "spacegroup": "Immm, No. 71",
  "lattice": [[-2.176, 3.228, 6.938], [2.176, -3.228, 6.938], [2.176, 3.228, -6.938]],
  "species": ["Cs", "Cs", "K", "Pu", "O", "O", "O", "O", "O"],
  "frac_coords": [[0.223, 0.223, 0.000], [0.777, 0.777, 0.000], [0.500, 0.000, 0.500], [0.000, 0.500, 0.500], [0.000, 0.000, 0.000], [0.114, 0.400, 0.714], [0.314, 0.600, 0.714], [0.686, 0.400, 0.286], [0.886, 0.600, 0.286]]
}

***

9.
{
  "formula": "Cs4K2Rb2O",
  "functional": "GGA-PBE",
  "state": "relaxed",
  "raw_formation_energy_ev_per_atom": -0.340,
  "n_ef_per_ev_cell": 6.4,
  "spacegroup": "C2/m, No. 12",
  "lattice": [[8.210, -4.785, 0.000], [8.210, 4.785, 0.000], [-0.504, 0.000, 8.598]],
  "species": ["Cs", "Cs", "Cs", "Cs", "K", "K", "Rb", "Rb", "O"],
  "frac_coords": [[0.116, 0.681, 0.635], [0.319, 0.884, 0.365], [0.681, 0.116, 0.635], [0.884, 0.319, 0.365], [0.097, 0.097, 0.767], [0.903, 0.903, 0.233], [0.347, 0.347, 0.101], [0.653, 0.653, 0.899], [0.000, 0.000, 0.500]]
}

***

10.
{
  "formula": "Cs6KRbO",
  "functional": "GGA-PBE",
  "state": "relaxed",
  "raw_formation_energy_ev_per_atom": -0.265,
  "n_ef_per_ev_cell": 6.7,
  "spacegroup": "C2, No. 5",
  "lattice": [[5.328, -9.355, 0.000], [5.328, 9.355, 0.000], [-0.021, 0.000, 8.463]],
  "species": ["Cs", "Cs", "Cs", "Cs", "Cs", "Cs", "K", "Rb", "O"],
  "frac_coords": [[0.109, 0.660, 0.705], [0.110, 0.110, 0.295], [0.340, 0.891, 0.295], [0.343, 0.114, 0.705], [0.886, 0.657, 0.295], [0.890, 0.890, 0.705], [0.445, 0.555, 0.500], [0.781, 0.219, 0.000], [0.113, 0.887, 0.500]]
}

***

11.
{
  "formula": "Cs2KRb5O",
  "functional": "GGA-PBE",
  "state": "relaxed",
  "raw_formation_energy_ev_per_atom": -0.287,
  "n_ef_per_ev_cell": 7.6,
  "spacegroup": "I4mm, No. 107",
  "lattice": [[-4.698, 4.698, 8.014], [4.698, -4.698, 8.014], [4.698, 4.698, -8.014]],
  "species": ["Cs", "Cs", "K", "Rb", "Rb", "Rb", "Rb", "Rb", "O"],
  "frac_coords": [[0.000, 0.500, 0.500], [0.500, 0.000, 0.500], [0.416, 0.416, 0.000], [0.034, 0.034, 0.566], [0.034, 0.468, 0.000], [0.077, 0.077, 0.000], [0.468, 0.034, 0.000], [0.468, 0.468, 0.434], [0.252, 0.252, 0.000]]
}

***

12.
{
  "formula": "CsK2RbO",
  "functional": "GGA-PBE",
  "state": "relaxed",
  "raw_formation_energy_ev_per_atom": -0.397,
  "n_ef_per_ev_cell": 1.6,
  "e_above_lowest_polymorph_mev_per_atom": 121,
  "spacegroup": "P4/mmm, No. 123",
  "lattice": [[6.004, 0.000, 0.000], [0.000, 6.004, 0.000], [0.000, 0.000, 6.252]],
  "species": ["Cs", "K", "K", "Rb", "O"],
  "frac_coords": [[0.000, 0.000, 0.000], [0.000, 0.500, 0.500], [0.500, 0.000, 0.500], [0.500, 0.500, 0.000], [0.000, 0.000, 0.500]]
}

***

13.
{
  "formula": "Cs6KRb2O",
  "functional": "GGA-PBE",
  "state": "relaxed",
  "raw_formation_energy_ev_per_atom": -0.292,
  "n_ef_per_ev_cell": 7.5,
  "spacegroup": "P1, No. 1",
  "lattice": [[9.091, 0.000, 0.000], [-0.306, 9.090, 0.000], [-4.378, -4.538, 10.844]],
  "species": ["Cs", "Cs", "Cs", "Cs", "Cs", "Cs", "K", "Rb", "Rb", "O"],
  "frac_coords": [[0.000, 0.000, 0.000], [0.029, 0.546, 0.598], [0.468, 0.331, 0.864], [0.595, 0.056, 0.060], [0.665, 0.988, 0.686], [0.942, 0.453, 0.052], [0.490, 0.721, 0.258], [0.047, 0.953, 0.424], [0.446, 0.339, 0.427], [0.735, 0.164, 0.932]]
}

***

14.
{
  "formula": "CsKRb6O",
  "functional": "GGA-PBE",
  "state": "relaxed",
  "raw_formation_energy_ev_per_atom": -0.318,
  "n_ef_per_ev_cell": 5.8,
  "spacegroup": "P1, No. 1",
  "lattice": [[8.282, 0.000, 0.000], [2.622, 7.983, 0.000], [0.067, 0.013, 9.721]],
  "species": ["Cs", "K", "Rb", "Rb", "Rb", "Rb", "Rb", "Rb", "O"],
  "frac_coords": [[0.000, 0.000, 0.000], [0.424, 0.418, 0.002], [0.502, 0.493, 0.502], [0.504, 0.907, 0.296], [0.504, 0.907, 0.707], [0.917, 0.501, 0.295], [0.917, 0.502, 0.706], [0.918, 0.914, 0.500], [0.711, 0.705, 0.501]]
}

***

15.
{
  "formula": "CsK2RbO",
  "functional": "GGA-PBE",
  "state": "relaxed",
  "raw_formation_energy_ev_per_atom": -0.518,
  "n_ef_per_ev_cell": 3.8,
  "e_above_lowest_polymorph_mev_per_atom": 0,
  "spacegroup": "Cmcm, No. 63",
  "lattice": [[2.294, -12.843, 0.000], [2.294, 12.843, 0.000], [0.000, 0.000, 9.129]],
  "species": ["Cs", "Cs", "K", "K", "K", "K", "Rb", "Rb", "O", "O"],
  "frac_coords": [[0.000, 0.000, 0.250], [0.000, 0.000, 0.750], [0.406, 0.594, 0.000], [0.406, 0.594, 0.500], [0.594, 0.406, 0.000], [0.594, 0.406, 0.500], [0.244, 0.756, 0.750], [0.756, 0.244, 0.250], [0.500, 0.500, 0.000], [0.500, 0.500, 0.500]]
}

***

16.
{
  "formula": "Cs2K4Rb2O",
  "functional": "GGA-PBE",
  "state": "relaxed",
  "raw_formation_energy_ev_per_atom": -0.335,
  "n_ef_per_ev_cell": 5.9,
  "spacegroup": "C2/m, No. 12",
  "lattice": [[7.880, -4.727, 0.000], [7.880, 4.727, 0.000], [-0.400, 0.000, 8.301]],
  "species": ["Cs", "Cs", "K", "K", "K", "K", "Rb", "Rb", "O"],
  "frac_coords": [[0.136, 0.136, 0.269], [0.864, 0.864, 0.731], [0.120, 0.712, 0.331], [0.288, 0.880, 0.669], [0.712, 0.120, 0.331], [0.880, 0.288, 0.669], [0.357, 0.357, 0.850], [0.643, 0.643, 0.150], [0.000, 0.000, 0.500]]
}

***

17.
{
  "formula": "CsK6Rb2O",
  "functional": "GGA-PBE",
  "state": "relaxed",
  "raw_formation_energy_ev_per_atom": -0.273,
  "n_ef_per_ev_cell": 6.8,
  "spacegroup": "Cm, No. 8",
  "lattice": [[7.050, -7.025, 0.000], [7.050, 7.025, 0.000], [-7.019, 0.000, 7.063]],
  "species": ["Cs", "K", "K", "K", "K", "K", "K", "Rb", "Rb", "O"],
  "frac_coords": [[0.000, 0.000, 0.000], [0.312, 0.690, 0.002], [0.313, 0.313, 0.003], [0.313, 0.313, 0.624], [0.688, 0.688, 0.378], [0.689, 0.689, 0.000], [0.690, 0.312, 0.002], [0.249, 0.752, 0.502], [0.752, 0.249, 0.502], [0.501, 0.501, 0.002]]
}

***

18.
{
  "formula": "CsK4RbO",
  "functional": "GGA-PBE",
  "state": "relaxed",
  "raw_formation_energy_ev_per_atom": -0.393,
  "n_ef_per_ev_cell": 9.1,
  "spacegroup": "C2/m, No. 12",
  "lattice": [[7.835, -4.358, 0.000], [7.835, 4.358, 0.000], [-4.611, 0.000, 14.537]],
  "species": ["Cs", "Cs", "K", "K", "K", "K", "K", "K", "K", "K", "Rb", "Rb", "O", "O"],
  "frac_coords": [[0.031, 0.031, 0.351], [0.969, 0.969, 0.649], [0.050, 0.484, 0.735], [0.368, 0.368, 0.555], [0.484, 0.050, 0.735], [0.495, 0.495, 0.171], [0.505, 0.505, 0.829], [0.516, 0.950, 0.265], [0.632, 0.632, 0.445], [0.950, 0.516, 0.265], [0.156, 0.156, 0.988], [0.844, 0.844, 0.012], [0.358, 0.358, 0.712], [0.642, 0.642, 0.288]]
}

***

19.
{
  "formula": "CsKRb3O",
  "functional": "GGA-PBE",
  "state": "relaxed",
  "raw_formation_energy_ev_per_atom": -0.450,
  "n_ef_per_ev_cell": 7.0,
  "spacegroup": "C2/c, No. 15",
  "lattice": [[4.198, -13.705, 0.000], [4.198, 13.705, 0.000], [-0.955, 0.000, 7.634]],
  "species": ["Cs", "Cs", "K", "K", "Rb", "Rb", "Rb", "Rb", "Rb", "Rb", "O", "O"],
  "frac_coords": [[0.248, 0.752, 0.750], [0.752, 0.248, 0.250], [0.357, 0.643, 0.250], [0.643, 0.357, 0.750], [0.121, 0.879, 0.250], [0.192, 0.217, 0.504], [0.217, 0.192, 0.004], [0.783, 0.808, 0.996], [0.808, 0.783, 0.496], [0.879, 0.121, 0.750], [0.028, 0.972, 0.250], [0.972, 0.028, 0.750]]
}

***

20.
{
  "formula": "CsK2RbO",
  "functional": "GGA-PBE",
  "state": "relaxed",
  "raw_formation_energy_ev_per_atom": -0.348,
  "n_ef_per_ev_cell": 2.3,
  "e_above_lowest_polymorph_mev_per_atom": 171,
  "spacegroup": "P4/mmm, No. 123",
  "lattice": [[6.000, 0.000, 0.000], [0.000, 6.000, 0.000], [0.000, 0.000, 6.178]],
  "species": ["Cs", "K", "K", "Rb", "O"],
  "frac_coords": [[0.000, 0.000, 0.000], [0.000, 0.500, 0.500], [0.500, 0.000, 0.500], [0.500, 0.500, 0.000], [0.500, 0.500, 0.500]]
}